Record 1
This record from the Alexandria database describes a relaxed structure of K2HfAs2. The functional is PBE.

Structure (extended XYZ):
```
5
Lattice="-2.793 2.793 4.432 2.793 -2.793 4.432 2.793 2.793 -4.432" Properties=species:S:1:pos:R:3 pbc="T T T"
K 0.000 0.000 1.290
K 0.000 0.000 7.573
Hf 0.000 0.000 4.432
As 2.793 0.000 2.216
As 0.000 2.793 2.216
```

M_tot: 0.000 μB/atom
Formation energy: 0.74 eV/atom
Calculated total energy: -17.77 eV/cell
D(E_F): 0.454 states/eV per atom
Distance to the lowest polymorph of the same formula: 0.3396 eV per atom

---

Record 2
This record from the Alexandria database describes a relaxed structure of CaSiSeN2. The functional is PBE.

Structure (extended XYZ):
```
5
Lattice="4.454 0.000 0.000 0.000 4.454 0.000 0.000 0.000 5.794" Properties=species:S:1:pos:R:3 pbc="T T T"
Ca 0.000 0.000 0.000
Si 2.227 2.227 2.897
Se 0.000 0.000 2.897
N 0.000 2.227 0.000
N 2.227 0.000 0.000
```

M_tot: 0.801 μB/atom
Calculated total energy: -20.32 eV/cell
D(E_F): 0.309 states/eV per atom
Uncorrected formation energy: 7.24 eV/f.u.
Distance to the lowest polymorph of the same formula: 1.5155 eV per atom

---

Record 3
This record from the Alexandria database describes a relaxed structure of SiNi2Se. The functional is PBE.

Structure (extended XYZ):
```
4
Lattice="1.612 0.931 6.592 -1.612 0.931 6.592 0.000 -1.861 6.592" Properties=species:S:1:pos:R:3 pbc="T T T"
Si 0.000 0.000 0.000
Ni 0.000 0.000 9.596
Ni 0.000 0.000 14.430
Se 0.000 0.000 4.379
```

M_tot: 0.000 μB/atom
Calculated total energy: -20.23 eV/cell
D(E_F): 0.520 states/eV per atom
Uncorrected formation energy: 0.24 eV/f.u.
Distance to the lowest polymorph of the same formula: 0.3610 eV per atom

---

Record 4
This record from the Alexandria database describes a relaxed structure of RbBaNaSr2. The functional is PBE.

Structure (extended XYZ):
```
5
Lattice="6.894 0.000 0.000 0.000 6.894 0.000 0.000 0.000 7.018" Properties=species:S:1:pos:R:3 pbc="T T T"
Rb 0.000 0.000 0.000
Ba 3.447 3.447 0.000
Na 3.447 3.447 3.509
Sr 0.000 3.447 3.509
Sr 3.447 0.000 3.509
```

M_tot: 0.000 μB/atom
Formation energy: 0.24 eV/atom
Calculated total energy: -6.39 eV/cell
D(E_F): 1.050 states/eV per atom

---

Record 5
This record from the Alexandria database describes a relaxed structure of SmErCuPb. The functional is PBE.

Structure (extended XYZ):
```
4
Lattice="0.000 3.701 3.701 3.701 0.000 3.701 3.701 3.701 0.000" Properties=species:S:1:pos:R:3 pbc="T T T"
Sm 0.000 0.000 0.000
Er 3.701 3.701 3.701
Cu 5.551 5.551 5.551
Pb 1.850 1.850 1.850
```

M_tot: 0.032 μB/atom
Formation energy: -0.29 eV/atom
Calculated total energy: -18.24 eV/cell
D(E_F): 1.082 states/eV per atom

---

Record 6
This record from the Alexandria database describes a relaxed structure of ReW3. The functional is PBE.

Structure (extended XYZ):
```
4
Lattice="4.790 0.000 0.000 0.000 4.790 0.000 0.000 0.000 4.790" Properties=species:S:1:pos:R:3 pbc="T T T"
Re 0.000 0.000 0.000
W 0.000 0.000 2.395
W 0.000 2.395 0.000
W 2.395 0.000 0.000
```

M_tot: 0.000 μB/atom
Formation energy: 2.95 eV/atom
Calculated total energy: -39.50 eV/cell
D(E_F): 1.685 states/eV per atom
Distance to the lowest polymorph of the same formula: 2.9342 eV per atom

---

Record 7
This record from the Alexandria database describes a relaxed structure of ErPdPt. The functional is PBE.

Structure (extended XYZ):
```
6
Lattice="2.216 -4.505 0.000 2.216 4.505 0.000 0.000 0.000 5.660" Properties=species:S:1:pos:R:3 pbc="T T T"
Er 2.216 2.800 4.245
Er 2.216 -2.800 1.415
Pd 2.216 3.474 1.415
Pd 2.216 -3.474 4.245
Pt 2.216 0.000 0.000
Pt 2.216 0.000 2.830
```

M_tot: 0.000 μB/atom
Formation energy: -1.05 eV/atom
Calculated total energy: -37.90 eV/cell
D(E_F): 0.411 states/eV per atom
Distance to the lowest polymorph of the same formula: 0.0000 eV per atom

---

Record 8
This record from the Alexandria database describes a relaxed structure of TbHoMgPa. The functional is PBE.

Structure (extended XYZ):
```
4
Lattice="0.000 3.817 3.817 3.817 0.000 3.817 3.817 3.817 0.000" Properties=species:S:1:pos:R:3 pbc="T T T"
Tb 0.000 0.000 0.000
Ho 3.817 3.817 3.817
Mg 1.908 1.908 1.908
Pa 5.725 5.725 5.725
```

M_tot: 0.430 μB/atom
Formation energy: 0.34 eV/atom
Calculated total energy: -18.92 eV/cell
D(E_F): 2.143 states/eV per atom

---

Record 9
This record from the Alexandria database describes a relaxed structure of Cs2TePCl6. The functional is PBE.

Structure (extended XYZ):
```
10
Lattice="-3.857 3.857 5.248 3.857 -3.857 5.248 3.857 3.857 -5.248" Properties=species:S:1:pos:R:3 pbc="T T T"
Cs 3.857 0.000 2.624
Cs 0.000 3.857 2.624
Te 0.000 0.000 0.000
P 0.000 0.000 5.248
Cl 0.000 0.000 2.799
Cl 2.162 2.162 0.000
Cl 1.694 -1.694 5.248
Cl -1.694 1.694 5.248
Cl 1.694 1.694 5.248
Cl 0.000 0.000 7.697
```

M_tot: 0.000 μB/atom
Calculated total energy: -30.96 eV/cell
D(E_F): 0.439 states/eV per atom
Uncorrected formation energy: -9.62 eV/f.u.